# 1
DFT (PBE) results for an optimized crystal structure of LaGaTeI2.

Unit cell a=6.292 b=6.292 c=6.196 alpha=90.00 beta=90.00 gamma=90.00
Space group P4/mmm (No. 123)
Symmetry-distinct sites (fractional):
La  0.000  0.000  0.000 [1 per cell]
Ga  0.500  0.500  0.500 [1 per cell]
Te  0.000  0.000  0.500 [1 per cell]
I  0.000  0.500  0.000 [2 per cell]

Output
Uncorrected formation energy, kcal/mol of atoms: -17.76
Distance to the lowest polymorph of the same formula, eV per formula unit: 0.00
Crystal system: tetragonal

=====

# 2
DFT (PBE) results for an optimized crystal structure of ZnHg3O.

Unit cell a=4.888 b=4.888 c=4.888 alpha=90.00 beta=90.00 gamma=90.00
Space group Pm-3m (No. 221)
Symmetry-distinct sites (fractional):
Zn  0.000  0.000  0.000 [1 per cell]
Hg  0.000  0.500  0.500 [3 per cell]
O  0.500  0.500  0.500 [1 per cell]

Output
Uncorrected formation energy, kcal/mol of atoms: 7.96
Distance to the lowest polymorph of the same formula, eV per formula unit: 0.00
Crystal system: cubic

=====

# 3
DFT (PBE) results for an optimized crystal structure of CuAu2Cl6.

Unit cell a=13.230 b=12.218 c=6.970 alpha=90.00 beta=101.15 gamma=90.00
Space group C2/c (No. 15)
Symmetry-distinct sites (fractional):
Cu  0.000  0.168  0.250 [4 per cell]
Au  0.249  0.083  0.348 [8 per cell]
Cl  0.124  0.161  0.530 [8 per cell]
Cl  0.128  0.162  0.073 [8 per cell]
Cl  0.147  0.499  0.363 [8 per cell]

Output
Uncorrected formation energy, kcal/mol of atoms: -6.68
Distance to the lowest polymorph of the same formula, eV per formula unit: 0.00
Crystal system: monoclinic

=====

# 4
DFT (PBE) results for an optimized crystal structure of Rb2CrRhBr6.

Unit cell a=7.445 b=7.445 c=10.546 alpha=90.00 beta=90.00 gamma=90.00
Space group I4/mmm (No. 139)
Symmetry-distinct sites (fractional):
Rb  0.000  0.500  0.250 [4 per cell]
Cr  0.000  0.000  0.000 [2 per cell]
Rh  0.000  0.000  0.500 [2 per cell]
Br  0.000  0.000  0.249 [4 per cell]
Br  0.250  0.250  0.000 [8 per cell]

Output
Uncorrected formation energy, kcal/mol of atoms: -21.25
Crystal system: tetragonal

=====

# 5
DFT (PBE) results for an optimized crystal structure of Rb2CuBr6F.

Unit cell a=7.277 b=7.277 c=10.797 alpha=90.00 beta=90.00 gamma=90.00
Space group I4/mmm (No. 139)
Symmetry-distinct sites (fractional):
Rb  0.000  0.500  0.250 [4 per cell]
Cu  0.000  0.000  0.000 [2 per cell]
Br  0.000  0.000  0.225 [4 per cell]
Br  0.243  0.243  0.000 [8 per cell]
F  0.000  0.000  0.500 [2 per cell]

Output
Uncorrected formation energy, kcal/mol of atoms: -18.37
Crystal system: tetragonal

=====

# 6
DFT (PBE) results for an optimized crystal structure of VSbTe2.

Unit cell a=3.5697 b=3.5697 c=28.8821 alpha=90.00 beta=90.00 gamma=120.00
Space group R-3m (No. 166, hexagonal axes)
Symmetry-distinct sites (fractional):
V  0.0000  0.0000  0.0000 [3 per cell]
Sb  0.0000  0.0000  0.5000 [3 per cell]
Te  0.0000  0.0000  0.3927 [6 per cell]

Output
Uncorrected formation energy, kcal/mol of atoms: -1.62
Crystal system: trigonal

=====

# 7
DFT (PBE) results for an optimized crystal structure of P3PtO.

Unit cell a=4.124 b=4.124 c=4.124 alpha=90.00 beta=90.00 gamma=90.00
Space group Pm-3m (No. 221)
Symmetry-distinct sites (fractional):
P  0.000  0.000  0.500 [3 per cell]
Pt  0.500  0.500  0.500 [1 per cell]
O  0.000  0.000  0.000 [1 per cell]

Output
Uncorrected formation energy, kcal/mol of atoms: 12.28
Distance to the lowest polymorph of the same formula, eV per formula unit: 0.00
Crystal system: cubic

=====

# 8
DFT (PBE) results for an optimized crystal structure of Tb2PrYS4.

Unit cell a=6.897 b=3.930 c=6.913 alpha=90.00 beta=108.96 gamma=90.00
Space group P2/m (No. 10)
Symmetry-distinct sites (fractional):
Tb  0.000  0.000  0.000 [1 per cell]
Tb  0.000  0.500  0.500 [1 per cell]
Pr  0.500  0.000  0.500 [1 per cell]
Y  0.500  0.500  0.000 [1 per cell]
S  0.239  0.500  0.239 [2 per cell]
S  0.245  0.000  0.756 [2 per cell]

Output
Uncorrected formation energy, kcal/mol of atoms: -46.16
Crystal system: monoclinic